This record from Alexandria via LeMat-Bulk describes a geometry-optimized VPBrO2 structure. The functional is GGA+U.

Computed properties:
Offset from the most stable computed form (meV per atom): 0

Unit cell a=3.7147 b=3.7147 c=5.3639 alpha=90.00 beta=90.00 gamma=90.00
Last column: nearest neighbours and their distance in Å.
Space group P4/mmm (No. 123)
Asymmetric unit:
V 0.0000 0.0000 0.0000 (multiplicity 1)  4 O 1.86
P 0.0000 0.0000 0.5000 (multiplicity 1)  4 Br 2.63, 2 V 2.68
Br 0.5000 0.5000 0.5000 (multiplicity 1)  4 P 2.63
O 0.0000 0.5000 0.0000 (multiplicity 2)  2 V 1.86

***

This record from Alexandria via LeMat-Bulk describes a geometry-optimized VPBrO2 structure. The functional is GGA+U.

Computed properties:
Offset from the most stable computed form (meV per atom): 1342

Unit cell a=3.8387 b=3.8387 c=5.2930 alpha=90.00 beta=90.00 gamma=90.00
Last column: nearest neighbours and their distance in Å.
Space group P4/mmm (No. 123)
Asymmetric unit:
V 0.0000 0.0000 0.0000 (multiplicity 1)  4 P 2.71
P 0.5000 0.5000 0.0000 (multiplicity 1)  2 Br 2.65, 4 V 2.71
Br 0.5000 0.5000 0.5000 (multiplicity 1)  4 O 1.92
O 0.0000 0.5000 0.5000 (multiplicity 2)  2 Br 1.92

***

This record from Alexandria via LeMat-Bulk describes a geometry-optimized P2WBrO structure. The functional is GGA+U.

Computed properties:
Offset from the most stable computed form (meV per atom): 0

Unit cell a=4.8971 b=4.8971 c=3.8765 alpha=90.00 beta=90.00 gamma=90.00
Last column: nearest neighbours and their distance in Å.
Space group P4/mmm (No. 123)
Asymmetric unit:
P 0.0000 0.5000 0.0000 (multiplicity 2)  2 W 2.45
W 0.0000 0.0000 0.0000 (multiplicity 1)  2 O 1.94
Br 0.5000 0.5000 0.5000 (multiplicity 1)  8 P 3.12, 4 O 3.46
O 0.0000 0.0000 0.5000 (multiplicity 1)  2 W 1.94

***

This record from Alexandria via LeMat-Bulk describes a geometry-optimized P2WBrO structure. The functional is GGA+U.

Computed properties:
Offset from the most stable computed form (meV per atom): 1251

Unit cell a=4.8293 b=4.8293 c=3.7414 alpha=90.00 beta=90.00 gamma=90.00
Last column: nearest neighbours and their distance in Å.
Space group P4/mmm (No. 123)
Asymmetric unit:
P 0.0000 0.5000 0.0000 (multiplicity 2)  2 Br 2.41
W 0.0000 0.0000 0.5000 (multiplicity 1)  8 P 3.05, 4 O 3.41
Br 0.5000 0.5000 0.0000 (multiplicity 1)  2 O 1.87
O 0.5000 0.5000 0.5000 (multiplicity 1)  2 Br 1.87

***

This record from Alexandria via LeMat-Bulk describes a geometry-optimized PWBrO2 structure. The functional is GGA+U.

Computed properties:
Offset from the most stable computed form (meV per atom): 0

Unit cell a=3.8809 b=3.8809 c=5.3325 alpha=90.00 beta=90.00 gamma=90.00
Last column: nearest neighbours and their distance in Å.
Space group P4/mmm (No. 123)
Asymmetric unit:
P 0.0000 0.0000 0.0000 (multiplicity 1)  2 W 2.67, 4 Br 2.74
W 0.0000 0.0000 0.5000 (multiplicity 1)  4 O 1.94
Br 0.5000 0.5000 0.0000 (multiplicity 1)  4 P 2.74
O 0.0000 0.5000 0.5000 (multiplicity 2)  2 W 1.94

***

This record from Alexandria via LeMat-Bulk describes a geometry-optimized PWBrO2 structure. The functional is GGA+U.

Computed properties:
Offset from the most stable computed form (meV per atom): 1711

Unit cell a=3.7708 b=3.7708 c=5.8164 alpha=90.00 beta=90.00 gamma=90.00
Last column: nearest neighbours and their distance in Å.
Space group P4/mmm (No. 123)
Asymmetric unit:
P 0.0000 0.0000 0.0000 (multiplicity 1)  4 W 2.67, 2 Br 2.91
W 0.5000 0.5000 0.0000 (multiplicity 1)  4 P 2.67
Br 0.0000 0.0000 0.5000 (multiplicity 1)  4 O 1.89
O 0.0000 0.5000 0.5000 (multiplicity 2)  2 Br 1.89